# CsInCoF6 PBE with a Hubbard U relaxed
data_CsInCoF6
_space_group_name_H-M_alt 'I m m a'
_space_group_IT_number 74
_space_group_name_Hall '-I 2b 2'
_cell_length_a 7.5576
_cell_length_b 7.8702
_cell_length_c 10.9576
_cell_angle_alpha 90.00
_cell_angle_beta 90.00
_cell_angle_gamma 90.00
loop_
_atom_site_label
_atom_site_type_symbol
_atom_site_fract_x
_atom_site_fract_y
_atom_site_fract_z
_atom_site_occupancy
Cs1 Cs 0.0000 0.2500 0.0970 1
In1 In 0.0000 0.0000 0.5000 1
Co1 Co 0.2500 0.2500 0.7500 1
F1 F 0.0000 0.2500 0.4207 1
F2 F 0.0000 0.2500 0.8088 1
F3 F 0.2043 0.0608 0.6205 1
# DFT total energy, eV per atom: -4.72